1.
Compound: Pr5TmTl4
Source: Alexandria
Functional: PBE
Structure: optimized geometry

```
Pr5TmTl4
1.0
3.732 0.000 0.000
0.000 3.732 0.000
0.000 0.000 22.387
Pr Tm Tl
5 1 4
Cartesian
0.000 0.000 0.000 Pr
0.000 0.000 4.372 Pr
0.000 0.000 8.713 Pr
0.000 0.000 13.674 Pr
0.000 0.000 18.015 Pr
1.866 1.866 11.194 Tm
1.866 1.866 2.189 Tl
1.866 1.866 6.555 Tl
1.866 1.866 15.832 Tl
1.866 1.866 20.198 Tl
```

Summary:
- energy of formation from the pure elements (meV per atom) = -291
- total DFT energy (no corrections) (eV/atom) = -4.0739

***

2.
Compound: NaCdSi
Source: Alexandria
Functional: PBE
Structure: optimized geometry

```
NaCdSi
1.0
-2.333 3.524 4.010
2.333 -3.524 4.010
2.333 3.524 -4.010
Na Cd Si
2 2 2
Cartesian
0.000 0.000 0.000 Na
0.000 3.524 0.628 Na
2.333 1.918 -0.946 Cd
0.000 1.606 3.064 Cd
2.333 -1.233 1.704 Si
2.333 1.233 1.704 Si
```

Summary:
- uncorrected formation energy (eV per formula unit) = 0.05
- total DFT energy (no corrections) (eV/atom) = -2.5348

***

3.
Compound: MnTcRu2
Source: Alexandria
Functional: PBE
Structure: optimized geometry

```
MnTcRu2
1.0
4.639 0.000 0.000
0.000 2.689 0.000
-1.565 0.000 4.378
Mn Tc Ru
1 1 2
Cartesian
0.000 0.000 0.000 Mn
-0.783 1.345 2.189 Tc
1.537 0.000 2.189 Ru
2.320 1.345 0.000 Ru
```

Summary:
- energy of formation from the pure elements (meV per atom) = 82
- total DFT energy (no corrections) (eV/atom) = -9.4402

***

4.
Compound: CrBiP
Source: Alexandria
Functional: PBE
Structure: optimized geometry

```
CrBiP
1.0
3.153 0.000 0.000
0.000 3.409 0.000
0.000 0.000 5.961
Cr Bi P
1 1 1
Cartesian
0.000 0.000 0.000 Cr
0.000 0.000 2.980 Bi
1.576 1.704 0.000 P
```

Summary:
- energy of formation from the pure elements (meV per atom) = 111
- total DFT energy (no corrections) (eV/atom) = -6.1939

***

| no. | energy relative to the lowest polymorph listed for this composition (eV/atom) |
| --- | --- |
| 1 | 0.000 |
| 2 | 0.029 |
| 3 | 0.018 |
| 4 | 0.019 |